[1]
Compound: SmIn6Pd12
Source: Alexandria via LeMat-Bulk
Functional: GGA-PBE
Structure: optimized geometry

ΔE_f ... -0.40 eV/atom
Energy ... -91.07 eV/f.u.
Symmetry ... R-3m (166)

The structure in POSCAR format:
```
SmIn6Pd12
1.0
7.5544 -0.1144 -0.1612
-1.9835 7.2902 -0.1612
-1.9835 -2.5549 6.8298
Sm In Pd
1 6 12
direct
0.0000 0.0000 0.0000 Sm
0.7026 0.2861 0.2861 In
0.2861 0.2861 0.7026 In
0.2861 0.7026 0.2861 In
0.7139 0.7139 0.2974 In
0.2974 0.7139 0.7139 In
0.7139 0.2974 0.7139 In
0.8847 0.1153 0.5000 Pd
0.8773 0.6369 0.6369 Pd
0.6369 0.6369 0.8773 Pd
0.3631 0.1227 0.3631 Pd
0.3631 0.3631 0.1227 Pd
0.1227 0.3631 0.3631 Pd
0.1153 0.5000 0.8847 Pd
0.5000 0.8847 0.1153 Pd
0.1153 0.8847 0.5000 Pd
0.8847 0.5000 0.1153 Pd
0.5000 0.1153 0.8847 Pd
0.6369 0.8773 0.6369 Pd
```

---

[2]
Compound: SmInPd2
Source: Alexandria via LeMat-Bulk
Functional: GGA-PBE
Structure: optimized geometry

ΔE_f ... -0.65 eV/atom
Energy ... -20.46 eV/f.u.
Symmetry ... P4/mmm (123)

The structure in POSCAR format:
```
SmInPd2
1.0
-2.9896 -0.4481 1.7770
-0.9523 -2.5254 -2.2388
2.9839 -4.5569 3.8711
Pd Sm In
2 1 1
direct
0.0000 0.0000 0.7760 Pd
0.0000 0.0000 0.2240 Pd
0.5000 0.5000 0.5000 Sm
0.5000 0.5000 0.0000 In
```

---

[3]
Compound: SmInPd
Source: Alexandria via LeMat-Bulk
Functional: GGA-PBE
Structure: optimized geometry

ΔE_f ... -0.64 eV/atom
Energy ... -14.56 eV/f.u.
Symmetry ... P4/nmm (129)

The structure in POSCAR format:
```
SmInPd
1.0
7.2983 0.0000 0.0000
0.0000 4.4161 0.0000
0.0000 0.0000 4.4161
Sm In Pd
2 2 2
direct
0.8509 0.0000 0.5000 Sm
0.1491 0.5000 0.0000 Sm
0.5000 0.0000 0.0000 In
0.5000 0.5000 0.5000 In
0.2492 0.0000 0.5000 Pd
0.7508 0.5000 0.0000 Pd
```

---

[4]
Compound: Sm2InPd
Source: Alexandria via LeMat-Bulk
Functional: GGA-PBE
Structure: optimized geometry

ΔE_f ... -0.64 eV/atom
Energy ... -19.92 eV/f.u.
Symmetry ... P4/mmm (123)
Excess energy over the best structure of this formula in the dataset ... 0.00 eV/f.u.

The structure in POSCAR format:
```
Sm2InPd
1.0
3.6023 0.0000 0.0000
0.0000 3.6023 0.0000
0.0000 0.0000 7.8720
Pd Sm In
1 2 1
direct
0.5000 0.5000 0.0000 Pd
0.0000 0.0000 0.7755 Sm
0.0000 0.0000 0.2245 Sm
0.5000 0.5000 0.5000 In
```

---

[5]
Compound: SmInPd
Source: Alexandria via LeMat-Bulk
Functional: GGA-PBE
Structure: optimized geometry

ΔE_f ... -0.59 eV/atom
Energy ... -14.41 eV/f.u.
Symmetry ... I4mm (107)

The structure in POSCAR format:
```
SmInPd
1.0
3.4837 0.0000 0.0000
0.0000 3.4837 0.0000
-1.7419 -1.7419 5.6345
Sm Pd In
1 1 1
direct
0.6279 0.6279 0.2559 Sm
0.2959 0.2959 0.5919 Pd
0.9261 0.9261 0.8522 In
```

---

[6]
Compound: SmInPd
Source: Alexandria via LeMat-Bulk
Functional: GGA-PBE
Structure: optimized geometry

ΔE_f ... -0.63 eV/atom
Energy ... -14.53 eV/f.u.
Symmetry ... F-43m (216)

The structure in POSCAR format:
```
SmInPd
1.0
4.7839 0.0000 0.0000
2.3920 4.1430 0.0000
2.3920 1.3810 3.9060
Pd Sm In
1 1 1
direct
0.2500 0.2500 0.2500 Pd
0.0000 0.0000 0.0000 Sm
0.5000 0.5000 0.5000 In
```

---

[7]
Compound: Sm3In2Pd2
Source: Alexandria via LeMat-Bulk
Functional: GGA-PBE
Structure: optimized geometry

ΔE_f ... -0.70 eV/atom
Energy ... -34.90 eV/f.u.
Symmetry ... Cmmm (65)

The structure in POSCAR format:
```
Sm3In2Pd2
1.0
4.0404 0.0000 0.5362
0.0000 3.7836 0.0000
0.5153 0.0000 11.6077
Sm In Pd
3 2 2
direct
0.8304 0.0000 0.3392 Sm
0.0000 0.0000 0.0000 Sm
0.1696 0.0000 0.6608 Sm
0.5830 0.5000 0.8339 In
0.4170 0.5000 0.1661 In
0.7097 0.5000 0.5806 Pd
0.2903 0.5000 0.4194 Pd
```

---

[8]
Compound: Sm2In5Pd3
Source: Alexandria via LeMat-Bulk
Functional: GGA-PBE
Structure: optimized geometry

ΔE_f ... -0.58 eV/atom
Energy ... -44.49 eV/f.u.
Symmetry ... Ibam (72)
Excess energy over the best structure of this formula in the dataset ... 0.57 eV/f.u.

The structure in POSCAR format:
```
Sm2In5Pd3
1.0
6.0589 0.0000 0.0000
3.0294 8.8027 0.4153
3.0294 1.7681 8.6333
Sm In Pd
4 10 6
direct
0.1573 0.5570 0.1283 Sm
0.6573 0.1283 0.5570 Sm
0.8427 0.4430 0.8717 Sm
0.3427 0.8717 0.4430 Sm
0.4254 0.2624 0.8868 In
0.9254 0.8868 0.2624 In
0.5746 0.7376 0.1132 In
0.0746 0.1132 0.7376 In
0.4492 0.8008 0.8008 In
0.5508 0.1992 0.1992 In
0.7500 0.5000 0.5000 In
0.2500 0.5000 0.5000 In
0.0508 0.1992 0.1992 In
0.9492 0.8008 0.8008 In
0.3483 0.5651 0.7383 Pd
0.8483 0.7383 0.5651 Pd
0.6517 0.4349 0.2617 Pd
0.1517 0.2617 0.4349 Pd
0.2500 0.0000 0.0000 Pd
0.7500 0.0000 0.0000 Pd
```

---

[9]
Compound: SmIn3Pd2
Source: Alexandria via LeMat-Bulk
Functional: GGA-PBE
Structure: optimized geometry

ΔE_f ... -0.53 eV/atom
Energy ... -26.52 eV/f.u.
Symmetry ... C2/m (12)

The structure in POSCAR format:
```
SmIn3Pd2
1.0
4.4230 0.0000 0.0000
-2.2115 8.5709 -2.8794
0.0000 -0.1443 10.7492
Sm In Pd
3 9 6
direct
0.1587 0.3173 0.7004 Sm
0.8413 0.6827 0.2996 Sm
0.0000 0.0000 0.0000 Sm
0.0393 0.0786 0.3450 In
0.9607 0.9214 0.6550 In
0.2156 0.4312 0.3881 In
0.7844 0.5688 0.6119 In
0.6247 0.2494 0.1906 In
0.3753 0.7506 0.8094 In
0.5000 0.0000 0.5000 In
0.3266 0.6533 0.0459 In
0.6734 0.3467 0.9541 In
0.2002 0.4004 0.1265 Pd
0.7998 0.5996 0.8735 Pd
0.4753 0.9506 0.2089 Pd
0.5247 0.0494 0.7911 Pd
0.3634 0.7269 0.5454 Pd
0.6366 0.2731 0.4546 Pd
```

---

[10]
Compound: Sm3InPd
Source: Alexandria via LeMat-Bulk
Functional: GGA-PBE
Structure: optimized geometry

ΔE_f ... -0.36 eV/atom
Energy ... -23.90 eV/f.u.
Symmetry ... Cmmm (65)

The structure in POSCAR format:
```
Sm3InPd
1.0
-3.8726 0.3948 -0.5647
1.0632 -2.2437 -8.8574
-0.7161 -9.0601 -1.4247
Sm In Pd
6 2 2
direct
0.8636 0.3785 0.8304 Sm
0.8636 0.0098 0.6622 Sm
0.8629 0.6097 0.0622 Sm
0.3631 0.0216 0.0738 Sm
0.8629 0.7781 0.4308 Sm
0.3631 0.3670 0.4192 Sm
0.3634 0.6942 0.7464 In
0.8632 0.1942 0.2466 In
0.3629 0.6942 0.2462 Pd
0.3636 0.1941 0.7465 Pd
```

---

[11]
Compound: Sm3In3Pd2
Source: Alexandria via LeMat-Bulk
Functional: GGA-PBE
Structure: optimized geometry

ΔE_f ... -0.63 eV/atom
Energy ... -37.81 eV/f.u.
Symmetry ... C2/m (12)

The structure in POSCAR format:
```
Sm3In3Pd2
1.0
4.5902 0.0000 0.0000
0.0000 5.1774 -0.0929
-2.2951 -1.6913 8.4340
Sm In Pd
3 3 2
direct
0.1570 0.6016 0.3140 Sm
0.8430 0.3984 0.6860 Sm
0.0000 0.0000 0.0000 Sm
0.6369 0.0957 0.2738 In
0.5000 0.5000 0.0000 In
0.3631 0.9043 0.7262 In
0.2294 0.1510 0.4587 Pd
0.7706 0.8490 0.5413 Pd
```